The following is a PBE calculation of a relaxed structure of Ho2Er3Sc3, from Alexandria via LeMat-Bulk.

Cell lengths 22.8543, 3.4489, 5.9269 Å; angles 90.00, 104.74, 90.00 degrees
Space group C2/m (No. 12)
Unique sites:
1 Ho 0.2474 0.0000 0.2441 (multiplicity 4)
2 Er 0.0000 0.0000 0.0000 (multiplicity 2)
3 Er 0.1228 0.0000 0.4629 (multiplicity 4)
4 Sc 0.0000 0.5000 0.5000 (multiplicity 2)
5 Sc 0.1234 0.5000 0.9583 (multiplicity 4)

=====

The following is a PBE calculation of a relaxed structure of HoEr2Sc2, from Alexandria via LeMat-Bulk.

Cell lengths 13.8908, 6.8771, 5.9550 Å; angles 90.00, 98.11, 90.00 degrees
Space group P2_1/c (No. 14)
Unique sites:
1 Ho 0.1964 0.1235 0.1499 (multiplicity 4)
2 Er 0.1968 0.6267 0.1458 (multiplicity 4)
3 Er 0.4011 0.1242 0.8810 (multiplicity 4)
4 Sc 0.0003 0.1249 0.7502 (multiplicity 4)
5 Sc 0.3999 0.6260 0.8851 (multiplicity 4)

=====

The following is a PBE calculation of a relaxed structure of Ho6Er12Sc, from Alexandria via LeMat-Bulk.

Cell lengths 12.0720, 12.0720, 14.1259 Å; angles 90.00, 90.00, 120.00 degrees
Space group R-3 (No. 148, hexagonal axes)
Unique sites:
1 Ho 0.0273 0.4378 0.2083 (multiplicity 18)
2 Er 0.0400 0.1810 0.3097 (multiplicity 18)
3 Er 0.0678 0.8699 0.9066 (multiplicity 18)
4 Sc 0.0000 0.0000 0.5000 (multiplicity 3)

=====

no.,formation enthalpy at 0 K (eV/f.u.),magnetic moment (μB per cell)
1,0.21,0.0
2,0.21,0.0
3,3.33,0.0